## one
Entry from the Alexandria database: an optimized crystal structure of Zr2Al2Ir (PBE).

Cell lengths 3.876, 3.876, 7.006 Å; angles 73.94, 73.94, 90.00 degrees
Atoms (fractional coordinates):
Ir1 0.000 0.000 0.000
Al1 0.410 0.410 0.180
Al2 0.590 0.590 0.820
Zr1 0.750 0.250 0.500
Zr2 0.250 0.750 0.500

---

## two
Entry from the Alexandria database: an optimized crystal structure of Zr2Al2Ir (PBE).

Cell lengths 6.597, 6.597, 4.179 Å; angles 90.00, 90.00, 90.00 degrees
Atoms (fractional coordinates):
Ir1 0.000 0.000 0.000
Ir2 0.500 0.500 0.000
Al1 0.363 0.863 0.000
Al2 0.863 0.637 0.000
Al3 0.637 0.137 0.000
Al4 0.137 0.363 0.000
Zr1 0.170 0.670 0.500
Zr2 0.670 0.830 0.500
Zr3 0.830 0.330 0.500
Zr4 0.330 0.170 0.500

---

two is preferred energetically. Next in line: 967 meV/atom higher.

---

## one
Entry from the Alexandria database: an optimized crystal structure of ZrAl2Ir2 (PBE).

Cell lengths 3.716, 3.716, 6.685 Å; angles 73.86, 73.86, 90.00 degrees
Atoms (fractional coordinates):
Ir1 0.392 0.392 0.215
Ir2 0.608 0.608 0.785
Al1 0.750 0.250 0.500
Al2 0.250 0.750 0.500
Zr1 0.000 0.000 0.000

---

## two
Entry from the Alexandria database: an optimized crystal structure of ZrAl2Ir2 (PBE).

Cell lengths 7.434, 7.434, 2.918 Å; angles 90.00, 90.00, 90.00 degrees
Atoms (fractional coordinates):
Ir1 0.353 0.853 0.000
Ir2 0.853 0.647 0.000
Ir3 0.647 0.147 0.000
Ir4 0.147 0.353 0.000
Al1 0.148 0.648 0.500
Al2 0.648 0.852 0.500
Al3 0.852 0.352 0.500
Al4 0.352 0.148 0.500
Zr1 0.000 0.000 0.000
Zr2 0.500 0.500 0.000

---

two is preferred energetically. Next in line: 10 meV/atom higher.